This record from the Alexandria database describes a relaxed LiFePO4 crystal. The functional is PBE with a Hubbard U.

a = 5.011 Å, b = 6.312 Å, c = 9.476 Å
α = 90.00°, β = 90.00°, γ = 90.00°
Each line ends with the local moment (μB).
Atoms (fractional coordinates):
Li  0.500  0.000  0.500  0.00
Li  0.000  0.500  0.000  0.00
Li  0.500  0.500  0.500  0.00
Li  0.000  0.000  0.000  0.00
O  0.162  0.448  0.611  0.03
O  0.838  0.948  0.389  0.03
O  0.106  0.250  0.844  0.03
O  0.662  0.948  0.889  0.03
O  0.394  0.250  0.344  0.03
O  0.606  0.750  0.656  0.03
O  0.662  0.552  0.889  0.03
O  0.271  0.750  0.341  0.03
O  0.229  0.750  0.841  0.03
O  0.894  0.750  0.156  0.03
O  0.162  0.052  0.611  0.03
O  0.338  0.448  0.111  0.03
O  0.838  0.552  0.389  0.03
O  0.729  0.250  0.659  0.03
O  0.771  0.250  0.159  0.03
O  0.338  0.052  0.111  0.03
Fe  0.975  0.250  0.353  3.77
Fe  0.025  0.750  0.647  3.77
Fe  0.525  0.250  0.853  3.77
Fe  0.475  0.750  0.147  3.77
P  0.964  0.750  0.318  0.01
P  0.036  0.250  0.682  0.01
P  0.536  0.750  0.818  0.01
P  0.464  0.250  0.182  0.01

Results
Density of states at the Fermi level (states/eV per atom): 0.00
Calculated total energy (eV/atom): -6.7661
V (Å³/cell): 300
Total magnetic moment (μB/f.u.): 4.00